InTe2Br2 | SCAN | PBEsol geometry

Geometry as POSCAR:
```
InTe2Br2
1.0
-3.085 3.085 4.549
3.085 -3.085 4.549
3.085 3.085 -4.549
In Te Br
1 2 2
direct
0.000 0.000 0.000 In
0.361 0.361 0.000 Te
0.639 0.639 0.000 Te
0.250 0.750 0.500 Br
0.750 0.250 0.500 Br
```

Summary:
Raw formation energy: 51 meV per atom
Space-group type: I4/mmm, No. 139

---

AsAuBr2 | SCAN | PBEsol geometry

Geometry as POSCAR:
```
AsAuBr2
1.0
3.695 -1.840 0.000
3.695 1.840 0.000
-1.739 0.000 7.799
As Au Br
1 1 2
direct
0.000 0.000 0.000 As
0.325 0.325 0.823 Au
0.660 0.660 0.615 Br
0.842 0.842 0.231 Br
```

Summary:
Raw formation energy: -274 meV per atom
Space-group type: Cm, No. 8

---

YTiTcI2 | SCAN | PBEsol geometry

Geometry as POSCAR:
```
YTiTcI2
1.0
5.307 0.000 0.000
0.000 5.307 0.000
0.000 0.000 4.556
Y Ti Tc I
1 1 1 2
direct
0.000 0.000 0.000 Y
0.500 0.500 0.000 Ti
0.500 0.500 0.500 Tc
0.000 0.500 0.500 I
0.500 0.000 0.500 I
```

Summary:
Raw formation energy: 515 meV per atom
Space-group type: P4/mmm, No. 123

---

TmAgSe2 | SCAN | PBEsol geometry

Geometry as POSCAR:
```
TmAgSe2
1.0
4.155 0.000 0.000
0.000 6.592 0.000
0.000 0.000 13.456
Tm Ag Se
4 4 8
direct
0.204 0.206 0.374 Tm
0.296 0.794 0.874 Tm
0.704 0.294 0.626 Tm
0.796 0.706 0.126 Tm
0.008 0.710 0.369 Ag
0.492 0.290 0.869 Ag
0.508 0.790 0.631 Ag
0.992 0.210 0.131 Ag
0.206 0.085 0.725 Se
0.214 0.497 0.526 Se
0.286 0.503 0.026 Se
0.294 0.915 0.225 Se
0.706 0.415 0.275 Se
0.714 0.003 0.474 Se
0.786 0.997 0.974 Se
0.794 0.585 0.775 Se
```

Summary:
Raw formation energy: -1338 meV per atom
Space-group type: P2_12_12_1, No. 19

---

TlIn2Ir | SCAN | PBEsol geometry

Geometry as POSCAR:
```
TlIn2Ir
1.0
-1.505 2.256 6.708
1.505 -2.256 6.708
1.505 2.256 -6.708
Tl In Ir
1 2 1
direct
0.000 0.000 0.000 Tl
0.367 0.367 0.000 In
0.685 0.185 0.500 In
0.193 0.693 0.500 Ir
```

Summary:
Space-group type: Imm2, No. 44
DFT formation energy: -1 meV per atom

---

AgSn2Ru | SCAN | PBEsol geometry

Geometry as POSCAR:
```
AgSn2Ru
1.0
0.000 3.311 3.311
3.311 0.000 3.311
3.311 3.311 0.000
Ag Sn Ru
1 2 1
direct
0.000 0.000 0.000 Ag
0.250 0.250 0.250 Sn
0.750 0.750 0.750 Sn
0.500 0.500 0.500 Ru
```

Summary:
Space-group type: Fm-3m, No. 225
DFT formation energy: 321 meV per atom

---

MnIN2 | SCAN | PBEsol geometry

Geometry as POSCAR:
```
MnIN2
1.0
0.000 3.945 3.945
3.945 0.000 3.945
3.945 3.945 0.000
Mn I N
2 2 4
direct
0.125 0.125 0.125 Mn
0.875 0.875 0.875 Mn
0.375 0.375 0.375 I
0.625 0.625 0.625 I
0.000 0.000 0.000 N
0.000 0.000 0.500 N
0.000 0.500 0.000 N
0.500 0.000 0.000 N
```

Summary:
Raw formation energy: 501 meV per atom
Space-group type: Fd-3m, No. 227

---

RuPt2 | SCAN | PBEsol geometry

Geometry as POSCAR:
```
RuPt2
1.0
-1.347 1.347 12.254
1.347 -1.347 12.254
1.347 1.347 -12.254
Ru Pt
2 4
direct
0.375 0.625 0.750 Ru
0.625 0.375 0.250 Ru
0.048 0.798 0.250 Pt
0.202 0.952 0.250 Pt
0.798 0.048 0.750 Pt
0.952 0.202 0.750 Pt
```

Summary:
Space-group type: I4_1/amd, No. 141
DFT formation energy: 25 meV per atom

---

Ti2SnHAu | SCAN | PBEsol geometry

Geometry as POSCAR:
```
Ti2SnHAu
1.0
5.046 0.000 0.000
0.000 5.046 0.000
0.000 0.000 4.991
Ti Sn H Au
2 1 1 1
direct
0.000 0.500 0.000 Ti
0.500 0.000 0.000 Ti
0.000 0.000 0.500 Sn
0.500 0.500 0.500 H
0.000 0.000 0.000 Au
```

Summary:
Space-group type: P4/mmm, No. 123

---

LiMn3CrO8 | SCAN | PBEsol geometry

Geometry as POSCAR:
```
LiMn3CrO8
1.0
4.936 -2.851 0.000
4.936 2.851 0.000
-3.320 0.000 4.917
Li Mn Cr O
1 3 1 8
direct
0.000 0.000 0.000 Li
0.000 0.500 0.500 Mn
0.500 0.000 0.500 Mn
0.500 0.500 0.500 Mn
0.000 0.000 0.500 Cr
0.234 0.729 0.700 O
0.235 0.235 0.694 O
0.263 0.263 0.297 O
0.271 0.766 0.300 O
0.729 0.234 0.700 O
0.737 0.737 0.703 O
0.765 0.765 0.306 O
0.766 0.271 0.300 O
```

Summary:
Raw formation energy: -2193 meV per atom
Space-group type: C2/m, No. 12

---

LaZrTl2 | SCAN | PBEsol geometry

Geometry as POSCAR:
```
LaZrTl2
1.0
3.341 0.000 0.000
0.000 3.341 0.000
0.000 0.000 8.914
La Zr Tl
1 1 2
direct
0.000 0.000 0.000 La
0.000 0.000 0.500 Zr
0.500 0.500 0.270 Tl
0.500 0.500 0.730 Tl
```

Summary:
Space-group type: P4/mmm, No. 123
DFT formation energy: -387 meV per atom

---

MgTcPt2 | SCAN | PBEsol geometry

Geometry as POSCAR:
```
MgTcPt2
1.0
1.391 0.803 8.883
-1.391 0.803 8.883
0.000 -1.606 8.883
Mg Tc Pt
1 1 2
direct
0.000 0.000 0.000 Mg
0.500 0.500 0.500 Tc
0.249 0.249 0.249 Pt
0.751 0.751 0.751 Pt
```

Summary:
Space-group type: R-3m, No. 166
DFT formation energy: -316 meV per atom

---

LaAlTl2 | SCAN | PBEsol geometry

Geometry as POSCAR:
```
LaAlTl2
1.0
3.774 0.000 0.000
0.000 3.774 0.000
0.000 0.000 7.296
La Al Tl
1 1 2
direct
0.000 0.000 0.000 La
0.500 0.500 0.733 Al
0.000 0.000 0.536 Tl
0.500 0.500 0.293 Tl
```

Summary:
Space-group type: P4mm, No. 99
DFT formation energy: -203 meV per atom

---

In eV per atom, the energy values for the records above are, in order, -29.31 -32.34 -29.97 -32.18 -52.56 -34.19 -17.89 -58.38 -27.10 -11.84 -55.02 -45.42 -49.10.